A relaxed structure of CeDyBe, computed with GGA-PBE.

The calculation puts the formation energy from the elements at 160 meV per atom. Its crystal system is tetragonal. The size of the total moment is 0.329 μB/atom.

The space group is I4mm (No. 107) and the conventional cell measures 3.4290, 3.4290 and 12.0265 Å, with angles of 90.00, 90.00 and 90.00 degrees. The inequivalent atoms are Ce at (0.0000, 0.0000, 0.0000), Dy at (0.0000, 0.0000, 0.7240) and Be at (0.0000, 0.0000, 0.3574).

A relaxed structure of Tc2MoPb, computed with GGA-PBE.

The calculation puts the formation energy from the elements at 551 meV per atom. Its crystal system is monoclinic. The size of the total moment is 0.000 μB/atom.

The space group is P2/m (No. 10) and the conventional cell measures 2.9687, 4.1440 and 5.7724 Å, with angles of 90.00, 97.82 and 90.00 degrees. The inequivalent atoms are Tc at (0.1124, 0.0000, 0.2905), Mo at (0.5000, 0.5000, 0.5000) and Pb at (0.5000, 0.5000, 0.0000).

A relaxed structure of VNiSe4, computed with GGA-PBE.

The total energy is -5.243 eV/atom. Its crystal system is monoclinic. The size of the total moment is 0.001 μB/atom.

The space group is Cm (No. 8) and the conventional cell measures 13.0449, 3.4157 and 5.8847 Å, with angles of 90.00, 112.73 and 90.00 degrees. The inequivalent atoms are V at (0.0000, 0.0000, 0.0000), Ni at (0.4929, 0.0000, 0.5867), Se at (0.0975, 0.0000, 0.4740), Se at (0.1355, 0.5000, 0.0006), Se at (0.3584, 0.5000, 0.6074) and Se at (0.3939, 0.0000, 0.1381).

A relaxed structure of Y3GaPd2, computed with GGA-PBE.

The calculation puts the formation energy from the elements at -788 meV per atom. Its crystal system is tetragonal. The size of the total moment is 0.000 μB/atom.

The space group is P4/mmm (No. 123) and the conventional cell measures 3.5084, 3.5084 and 10.8380 Å, with angles of 90.00, 90.00 and 90.00 degrees. The inequivalent atoms are Y at (0.0000, 0.0000, 0.0000), Y at (0.0000, 0.0000, 0.3275), Ga at (0.5000, 0.5000, 0.5000) and Pd at (0.5000, 0.5000, 0.1665).

A relaxed structure of La2TaCrIr, computed with GGA-PBE.

The calculation puts the formation energy from the elements at 763 meV per atom. Its crystal system is tetragonal. The size of the total moment is 0.106 μB/atom.

The space group is P4/mmm (No. 123) and the conventional cell measures 5.1789, 5.1789 and 4.5394 Å, with angles of 90.00, 90.00 and 90.00 degrees. The inequivalent atoms are La at (0.0000, 0.5000, 0.0000), Ta at (0.0000, 0.0000, 0.5000), Cr at (0.0000, 0.0000, 0.0000) and Ir at (0.5000, 0.5000, 0.5000).

A relaxed structure of Ag4S2Cl5, computed with GGA-PBE.

The calculation puts the energy relative to the lowest polymorph listed for this composition at 255.4 meV per atom. Its crystal system is orthorhombic. The size of the total moment is 0.000 μB/atom.

The space group is Immm (No. 71) and the conventional cell measures 3.6637, 8.0660 and 18.5608 Å, with angles of 90.00, 90.00 and 90.00 degrees. The inequivalent atoms are Ag at (0.0000, 0.0000, 0.2127), Ag at (0.0000, 0.2389, 0.5000), S at (0.0000, 0.0000, 0.3421), Cl at (0.0000, 0.2923, 0.3602) and Cl at (0.0000, 0.5000, 0.0000).

A relaxed structure of CeSbPt5, computed with GGA-PBE.

The calculation puts the energy relative to the lowest polymorph listed for this composition at 0.0 meV per atom. Its crystal system is trigonal. The size of the total moment is 0.047 μB/atom.

The space group is R-3 (No. 148, hexagonal axes) and the conventional cell measures 5.3898, 5.3898 and 31.4289 Å, with angles of 90.00, 90.00 and 120.00 degrees. The inequivalent atoms are Ce at (0.0000, 0.0000, 0.0000), Ce at (0.0000, 0.0000, 0.5000), Sb at (0.0000, 0.0000, 0.1054), Pt at (0.0000, 0.0000, 0.1860), Pt at (0.0000, 0.0000, 0.3338) and Pt at (0.0020, 0.4514, 0.0735).

A relaxed structure of CeAl3Cu, computed with GGA-PBE.

The calculation puts the energy relative to the lowest polymorph listed for this composition at 81.6 meV per atom. The calculation puts the formation energy from the elements at -339 meV per atom. Its crystal system is tetragonal. The size of the total moment is 0.151 μB/atom.

The space group is I-4m2 (No. 119) and the conventional cell measures 4.2015, 4.2015 and 10.8856 Å, with angles of 90.00, 90.00 and 90.00 degrees. The inequivalent atoms are Ce at (0.0000, 0.0000, 0.0000), Al at (0.0000, 0.0000, 0.3834), Al at (0.0000, 0.5000, 0.2500) and Cu at (0.0000, 0.5000, 0.7500).

A relaxed structure of Pm2Pr3Dy7, computed with GGA-PBE.

The calculation puts the formation energy from the elements at 84 meV per atom. Its crystal system is monoclinic. The size of the total moment is 0.000 μB/atom.

The space group is P2/m (No. 10) and the conventional cell measures 6.3972, 3.5603 and 17.6920 Å, with angles of 90.00, 96.32 and 90.00 degrees. The inequivalent atoms are Pm at (0.0545, 0.0000, 0.1733), Pr at (0.4542, 0.5000, 0.8402), Pr at (0.5000, 0.0000, 0.5000), Dy at (0.0000, 0.5000, 0.5000), Dy at (0.2239, 0.0000, 0.6650), Dy at (0.2540, 0.0000, 0.0003) and Dy at (0.2717, 0.5000, 0.3356).

A relaxed structure of Sr6Hg3H2, computed with GGA-PBE.

The total energy is -1.992 eV/atom. Its crystal system is tetragonal. The size of the total moment is 0.000 μB/atom.

The space group is I4/mmm (No. 139) and the conventional cell measures 5.2711, 5.2711 and 25.3619 Å, with angles of 90.00, 90.00 and 90.00 degrees. The inequivalent atoms are Sr at (0.0000, 0.0000, 0.2034), Sr at (0.0000, 0.5000, 0.0813), Hg at (0.0000, 0.0000, 0.3330), Hg at (0.0000, 0.0000, 0.5000) and H at (0.0000, 0.0000, 0.1022).

A relaxed structure of Tb2Pr3Nd6Y, computed with GGA-PBE.

The calculation puts the formation energy from the elements at 14 meV per atom. Its crystal system is monoclinic. The size of the total moment is 0.000 μB/atom.

The space group is C2/m (No. 12) and the conventional cell measures 6.3545, 11.0105 and 12.1162 Å, with angles of 90.00, 100.09 and 90.00 degrees. The inequivalent atoms are Tb at (0.0000, 0.1667, 0.0000), Pr at (0.0000, 0.0000, 0.5000), Pr at (0.0000, 0.3333, 0.5000), Nd at (0.2484, 0.0000, 0.2457), Nd at (0.2495, 0.3330, 0.2457) and Y at (0.0000, 0.5000, 0.0000).

A relaxed structure of Mn2CdIn, computed with GGA-PBE.

The calculation puts the formation energy from the elements at 202 meV per atom. Its crystal system is tetragonal. The size of the total moment is 0.104 μB/atom.

The space group is P4mm (No. 99) and the conventional cell measures 3.0118, 3.0118 and 7.8051 Å, with angles of 90.00, 90.00 and 90.00 degrees. The inequivalent atoms are Mn at (0.0000, 0.0000, 0.0000), Mn at (0.5000, 0.5000, 0.1692), Cd at (0.0000, 0.0000, 0.4242) and In at (0.5000, 0.5000, 0.7500).

The highest size of the total moment belongs to which entry? CeDyBe

What is the size of the total moment in the eleventh record? 0.000 μB/atom

Number 10 is which compound? Sr6Hg3H2